Entry 1:
{"formula": "Mn2CoPtN", "functional": "PBE", "state": "optimized geometry", "total_energy_ev_per_atom": -8.22, "spacegroup": "No. 123", "cell": [[3.975, 0.000, 0.000], [0.000, 3.975, 0.000], [0.000, 0.000, 3.748]], "species": ["Mn", "Mn", "Co", "Pt", "N"], "frac_coords": [[0.000, 0.500, 0.000], [0.500, 0.000, 0.000], [0.000, 0.000, 0.500], [0.500, 0.500, 0.500], [0.000, 0.000, 0.000]]}

***

Entry 2:
{"formula": "Si2BrCl", "functional": "PBE", "state": "optimized geometry", "relative_energy_mev_per_atom": 682.4, "total_energy_ev_per_atom": -3.27, "spacegroup": "No. 10", "cell": [[4.854, 0.000, 0.000], [0.000, 3.305, 0.000], [-0.009, 0.000, 5.518]], "species": ["Si", "Si", "Br", "Cl"], "frac_coords": [[0.000, 0.000, 0.000], [0.000, 0.500, 0.500], [0.500, 0.000, 0.000], [0.500, 0.500, 0.500]]}

***

Entry 3:
{"formula": "Ac6Hg5Ge", "functional": "PBE", "state": "optimized geometry", "total_energy_ev_per_atom": -3.06, "spacegroup": "No. 12", "cell": [[4.897, -8.589, 0.000], [4.897, 8.589, 0.000], [-3.302, 0.000, 4.636]], "species": ["Ac", "Ac", "Ac", "Ac", "Ac", "Ac", "Hg", "Hg", "Hg", "Hg", "Hg", "Ge"], "frac_coords": [[0.081, 0.403, 0.742], [0.237, 0.237, 0.237], [0.403, 0.081, 0.742], [0.597, 0.919, 0.258], [0.763, 0.763, 0.763], [0.919, 0.597, 0.258], [0.179, 0.821, 0.000], [0.333, 0.667, 0.500], [0.500, 0.500, 0.000], [0.667, 0.333, 0.500], [0.821, 0.179, 0.000], [0.000, 0.000, 0.500]]}

***

Entry 4:
{"formula": "Ba2MnAu", "functional": "PBE", "state": "optimized geometry", "relative_energy_mev_per_atom": 143.8, "total_energy_ev_per_atom": -4.00, "spacegroup": "No. 225", "cell": [[0.000, 4.063, 4.063], [4.063, 0.000, 4.063], [4.063, 4.063, 0.000]], "species": ["Ba", "Ba", "Mn", "Au"], "frac_coords": [[0.250, 0.250, 0.250], [0.750, 0.750, 0.750], [0.000, 0.000, 0.000], [0.500, 0.500, 0.500]]}

***

Entry 5:
{"formula": "TaGaW", "functional": "PBE", "state": "optimized geometry", "relative_energy_mev_per_atom": 70.7, "total_energy_ev_per_atom": -9.26, "spacegroup": "No. 63", "cell": [[1.654, -8.430, 0.000], [1.654, 8.430, 0.000], [0.000, 0.000, 3.563]], "species": ["Ta", "Ta", "Ga", "Ga", "W", "W"], "frac_coords": [[0.114, 0.886, 0.750], [0.886, 0.114, 0.250], [0.452, 0.548, 0.750], [0.548, 0.452, 0.250], [0.294, 0.706, 0.750], [0.706, 0.294, 0.250]]}

***

Entry 6:
{"formula": "GePtSCl2", "functional": "PBE", "state": "optimized geometry", "relative_energy_mev_per_atom": 347.6, "total_energy_ev_per_atom": -3.19, "spacegroup": "No. 123", "cell": [[4.998, 0.000, 0.000], [0.000, 4.998, 0.000], [0.000, 0.000, 4.514]], "species": ["Ge", "Pt", "S", "Cl", "Cl"], "frac_coords": [[0.000, 0.000, 0.000], [0.500, 0.500, 0.000], [0.500, 0.500, 0.500], [0.000, 0.500, 0.500], [0.500, 0.000, 0.500]]}

***

Entry 7:
{"formula": "NaNpSbO5", "functional": "PBE", "state": "optimized geometry", "total_energy_ev_per_atom": -7.50, "spacegroup": "No. 15", "cell": [[4.124, -4.622, 0.000], [4.124, 4.622, 0.000], [-3.891, 0.000, 7.367]], "species": ["Na", "Na", "Np", "Np", "Sb", "Sb", "O", "O", "O", "O", "O", "O", "O", "O", "O", "O"], "frac_coords": [[0.065, 0.935, 0.750], [0.935, 0.065, 0.250], [0.000, 0.500, 0.000], [0.500, 0.000, 0.500], [0.427, 0.573, 0.750], [0.573, 0.427, 0.250], [0.179, 0.632, 0.851], [0.197, 0.273, 0.010], [0.253, 0.747, 0.250], [0.273, 0.197, 0.510], [0.368, 0.821, 0.649], [0.632, 0.179, 0.351], [0.727, 0.803, 0.490], [0.747, 0.253, 0.750], [0.803, 0.727, 0.990], [0.821, 0.368, 0.149]]}

***

Entry 8:
{"formula": "BIN3", "functional": "PBE", "state": "optimized geometry", "total_energy_ev_per_atom": -3.53, "spacegroup": "No. 221", "cell": [[3.911, 0.000, 0.000], [0.000, 3.911, 0.000], [0.000, 0.000, 3.911]], "species": ["B", "I", "N", "N", "N"], "frac_coords": [[0.000, 0.000, 0.000], [0.500, 0.500, 0.500], [0.000, 0.500, 0.500], [0.500, 0.000, 0.500], [0.500, 0.500, 0.000]]}

***

Entry 9:
{"formula": "NaTeSe2", "functional": "PBE", "state": "optimized geometry", "total_energy_ev_per_atom": -3.34, "spacegroup": "No. 141", "cell": [[-2.982, 2.982, 5.928], [2.982, -2.982, 5.928], [2.982, 2.982, -5.928]], "species": ["Na", "Na", "Te", "Te", "Se", "Se", "Se", "Se"], "frac_coords": [[0.375, 0.625, 0.750], [0.625, 0.375, 0.250], [0.125, 0.875, 0.250], [0.875, 0.125, 0.750], [0.111, 0.361, 0.750], [0.361, 0.111, 0.250], [0.639, 0.889, 0.750], [0.889, 0.639, 0.250]]}

***

Entry 10:
{"formula": "NdScAl2", "functional": "PBE", "state": "optimized geometry", "relative_energy_mev_per_atom": 290.3, "total_energy_ev_per_atom": -4.76, "spacegroup": "No. 166", "cell": [[1.726, 0.996, 9.379], [-1.726, 0.996, 9.379], [0.000, -1.993, 9.379]], "species": ["Nd", "Sc", "Al", "Al"], "frac_coords": [[0.000, 0.000, 0.000], [0.500, 0.500, 0.500], [0.244, 0.244, 0.244], [0.756, 0.756, 0.756]]}

***

Entry 11:
{"formula": "Li2RhCl", "functional": "PBE", "state": "optimized geometry", "relative_energy_mev_per_atom": 262.9, "total_energy_ev_per_atom": -3.61, "spacegroup": "No. 8", "cell": [[5.534, -1.480, 0.000], [5.534, 1.480, 0.000], [-1.470, 0.000, 3.789]], "species": ["Li", "Li", "Rh", "Cl"], "frac_coords": [[0.000, 0.000, 0.000], [0.188, 0.188, 0.684], [0.758, 0.758, 0.253], [0.450, 0.450, 0.451]]}

***

Entry 12:
{"formula": "LaSn3S6", "functional": "PBE", "state": "optimized geometry", "total_energy_ev_per_atom": -4.96, "spacegroup": "No. 11", "cell": [[11.572, 0.000, 0.000], [0.000, 3.970, 0.000], [-5.008, 0.000, 10.884]], "species": ["La", "La", "Sn", "Sn", "Sn", "Sn", "Sn", "Sn", "S", "S", "S", "S", "S", "S", "S", "S", "S", "S", "S", "S"], "frac_coords": [[0.156, 0.250, 0.419], [0.844, 0.750, 0.581], [0.132, 0.750, 0.012], [0.204, 0.250, 0.762], [0.479, 0.250, 0.343], [0.521, 0.750, 0.657], [0.796, 0.750, 0.238], [0.868, 0.250, 0.988], [0.010, 0.750, 0.234], [0.110, 0.750, 0.588], [0.247, 0.250, 0.162], [0.300, 0.750, 0.915], [0.352, 0.750, 0.427], [0.386, 0.250, 0.687], [0.614, 0.750, 0.313], [0.648, 0.250, 0.573], [0.700, 0.250, 0.085], [0.753, 0.750, 0.838], [0.890, 0.250, 0.412], [0.990, 0.250, 0.766]]}

***

Entry 13:
{"formula": "LiGdPd", "functional": "PBE", "state": "optimized geometry", "relative_energy_mev_per_atom": 0.0, "total_energy_ev_per_atom": -7.54, "spacegroup": "No. 187", "cell": [[4.363, 0.000, 0.000], [-2.181, 3.778, 0.000], [0.000, 0.000, 3.721]], "species": ["Li", "Gd", "Pd"], "frac_coords": [[0.000, 0.000, 0.000], [0.667, 0.333, 0.500], [0.333, 0.667, 0.000]]}

***

Entry 14:
{"formula": "LaNdSmHg", "functional": "PBE", "state": "optimized geometry", "relative_energy_mev_per_atom": 154.8, "total_energy_ev_per_atom": -3.76, "spacegroup": "No. 216", "cell": [[0.000, 3.956, 3.956], [3.956, 0.000, 3.956], [3.956, 3.956, 0.000]], "species": ["La", "Nd", "Sm", "Hg"], "frac_coords": [[0.000, 0.000, 0.000], [0.500, 0.500, 0.500], [0.750, 0.750, 0.750], [0.250, 0.250, 0.250]]}

***

Entry 15:
{"formula": "TaSbTe2", "functional": "PBE", "state": "optimized geometry", "total_energy_ev_per_atom": -5.62, "spacegroup": "No. 8", "cell": [[5.049, -1.772, 0.000], [5.049, 1.772, 0.000], [-1.960, 0.000, 6.180]], "species": ["Ta", "Sb", "Te", "Te"], "frac_coords": [[0.000, 0.000, 0.000], [0.647, 0.647, 0.362], [0.291, 0.291, 0.018], [0.464, 0.464, 0.648]]}

***

Entry 16:
{"formula": "SmAg2Cl6", "functional": "PBE", "state": "optimized geometry", "total_energy_ev_per_atom": -3.55, "spacegroup": "No. 12", "cell": [[7.682, -2.009, 0.000], [7.682, 2.009, 0.000], [-0.865, 0.000, 9.561]], "species": ["Sm", "Ag", "Ag", "Cl", "Cl", "Cl", "Cl", "Cl", "Cl"], "frac_coords": [[0.000, 0.000, 0.000], [0.194, 0.194, 0.339], [0.806, 0.806, 0.661], [0.035, 0.035, 0.282], [0.213, 0.213, 0.655], [0.382, 0.382, 0.018], [0.618, 0.618, 0.982], [0.787, 0.787, 0.345], [0.965, 0.965, 0.718]]}

***

Entry 17:
{"formula": "KSbOs2Ru", "functional": "PBE", "state": "optimized geometry", "total_energy_ev_per_atom": -3.86, "spacegroup": "No. 123", "cell": [[4.490, 0.000, 0.000], [0.000, 4.490, 0.000], [0.000, 0.000, 5.181]], "species": ["K", "Sb", "Os", "Os", "Ru"], "frac_coords": [[0.000, 0.000, 0.000], [0.000, 0.000, 0.500], [0.000, 0.500, 0.000], [0.500, 0.000, 0.000], [0.500, 0.500, 0.500]]}

***

Entry 18:
{"formula": "MnZn2Ir", "functional": "PBE", "state": "optimized geometry", "total_energy_ev_per_atom": -5.25, "spacegroup": "No. 47", "cell": [[3.033, 0.000, 0.000], [0.000, 4.276, 0.000], [0.000, 0.000, 4.324]], "species": ["Mn", "Zn", "Zn", "Ir"], "frac_coords": [[0.000, 0.000, 0.000], [0.000, 0.500, 0.500], [0.500, 0.500, 0.000], [0.500, 0.000, 0.500]]}

***

Entry 19:
{"formula": "Hg2H3Pd8", "functional": "PBE", "state": "optimized geometry", "total_energy_ev_per_atom": -4.02, "spacegroup": "No. 12", "cell": [[6.762, -2.928, 0.000], [6.762, 2.928, 0.000], [-1.510, 0.000, 4.555]], "species": ["Hg", "Hg", "H", "H", "H", "Pd", "Pd", "Pd", "Pd", "Pd", "Pd", "Pd", "Pd"], "frac_coords": [[0.246, 0.246, 0.010], [0.754, 0.754, 0.990], [0.147, 0.853, 0.500], [0.500, 0.500, 0.000], [0.853, 0.147, 0.500], [0.128, 0.128, 0.397], [0.194, 0.677, 0.167], [0.323, 0.806, 0.833], [0.363, 0.363, 0.612], [0.637, 0.637, 0.388], [0.677, 0.194, 0.167], [0.806, 0.323, 0.833], [0.872, 0.872, 0.603]]}

***

Entry 20:
{"formula": "Sm2Dy2In", "functional": "PBE", "state": "optimized geometry", "relative_energy_mev_per_atom": 0.0, "total_energy_ev_per_atom": -4.24, "spacegroup": "No. 127", "cell": [[8.331, 0.000, 0.000], [0.000, 8.331, 0.000], [0.000, 0.000, 4.554]], "species": ["Sm", "Sm", "Sm", "Sm", "Dy", "Dy", "Dy", "Dy", "In", "In"], "frac_coords": [[0.148, 0.352, 0.000], [0.352, 0.852, 0.000], [0.648, 0.148, 0.000], [0.852, 0.648, 0.000], [0.153, 0.653, 0.500], [0.347, 0.153, 0.500], [0.653, 0.847, 0.500], [0.847, 0.347, 0.500], [0.000, 0.000, 0.000], [0.500, 0.500, 0.000]]}